Entry 1:
20
Lattice="3.204 4.294 -0.057 -3.204 4.294 -0.057 0.000 0.524 8.925" Properties=species:S:1:pos:R:3 comment="GGA-PBE MgSO8, relaxed" dft_energy_ev_per_atom=-5.55 raw_formation_energy_ev_per_atom=-1.01 spacegroup="C2/c (15)" pbc="T T T"
Mg -1.602 2.147 -0.028
Mg 1.602 2.409 4.434
S 2.966 4.687 6.637
S -2.966 4.425 2.174
O -2.087 3.504 1.406
O -2.087 5.345 2.943
O 2.087 5.607 7.405
O 2.087 3.766 5.869
O 0.624 8.181 7.483
O 0.624 1.193 5.791
O -0.624 0.931 1.328
O -0.624 7.919 3.021
O 0.602 3.305 8.557
O 0.602 6.069 4.717
O -0.602 5.807 0.255
O -0.602 3.043 4.094
O 1.181 3.064 0.688
O 1.181 5.786 3.661
O -1.181 6.048 8.124
O -1.181 3.326 5.150

---

Entry 2:
19
Lattice="7.836 0.000 -2.770 -3.918 6.786 -2.770 0.000 0.000 8.311" Properties=species:S:1:pos:R:3 comment="GGA-PBE Dy12GaCo6, relaxed" dft_energy_ev_per_atom=-5.55 ef_ev_per_atom=-0.24 dos_at_fermi_per_ev_cell=13.67 spacegroup="Im-3 (204)" pbc="T T T"
Dy 1.934 0.730 5.576
Dy 0.421 3.350 -0.596
Dy 3.496 3.436 3.366
Dy 1.984 6.056 -2.805
Dy -2.319 5.476 -0.035
Dy 3.112 1.310 0.596
Dy 0.806 5.476 2.174
Dy 6.237 1.310 2.805
Dy 5.145 2.040 -2.174
Dy 0.335 2.040 2.735
Dy 3.583 4.746 0.035
Dy -1.227 4.746 4.945
Ga 0.000 0.000 0.000
Co 1.067 3.393 4.910
Co 2.851 3.393 -2.140
Co 0.446 6.014 -0.630
Co 3.472 0.772 3.401
Co 5.431 2.621 0.630
Co -1.513 4.165 2.140

---

Entry 3:
10
Lattice="-7.667 1.574 1.424 0.637 -3.386 7.171 0.843 2.925 1.306" Properties=species:S:1:pos:R:3 comment="GGA-PBE Sb2Pd2Cl, relaxed" dft_energy_ev_per_atom=-4.33 raw_formation_energy_ev_per_atom=-0.23 dos_at_fermi_per_ev_cell=3.62 spacegroup="P4/mbm (127)" pbc="T T T"
Sb -0.279 -0.493 5.485
Sb -3.979 -0.417 7.703
Sb -5.908 1.606 4.417
Sb -2.208 1.530 2.199
Pd -2.195 -2.341 6.658
Pd -6.165 -0.826 5.829
Pd -4.836 0.529 1.937
Pd -0.865 -0.986 2.766
Cl 0.000 0.000 0.000
Cl -3.515 -0.906 4.298

---

Entry 4:
7
Lattice="-3.158 -1.045 1.945 2.050 -3.784 -2.521 3.539 -0.608 5.419" Properties=species:S:1:pos:R:3 comment="GGA-PBE Mn2Pt2Au3, relaxed" dft_energy_ev_per_atom=-5.92 ef_ev_per_atom=-0.17 dos_at_fermi_per_ev_cell=2.85 spacegroup="C2/m (12)" pbc="T T T"
Mn 0.976 -1.595 4.544
Mn 1.455 -3.842 0.299
Pt 1.651 -1.428 1.914
Pt 0.780 -4.008 2.929
Au 3.274 -2.954 3.729
Au 0.000 0.000 0.000
Au -0.843 -2.482 1.114

---

> Which formula does entry 1 have?

MgSO8